# 1
Here is a geometry-optimized La3HfIr structure from Alexandria via LeMat-Bulk. Energies are from PBE.

Calculated values
Space group: Pm-3m (221)
Relative energy among the computed polymorphs in meV/atom: 0
Magnetization in μB per atom: 0.00
Fermi-level density of states in states/eV/cell: 15.83
Energy of formation from the pure elements in meV/atom: 142
Crystal system: cubic

Cell lengths 5.577, 5.577, 5.577 Å; angles 90.00, 90.00, 90.00 degrees
Fractional coordinates of all 5 atoms:
La 0.000 0.000 0.500
La 0.000 0.500 0.000
La 0.500 0.000 0.000
Hf 0.500 0.500 0.500
Ir 0.000 0.000 0.000


# 2
Here is a geometry-optimized SrRu3Pb structure from Alexandria via LeMat-Bulk. Energies are from PBE.

Calculated values
Space group: Pm-3m (221)
Relative energy among the computed polymorphs in meV/atom: 0
Magnetization in μB per atom: 0.77
Fermi-level density of states in states/eV/cell: 6.78
Energy of formation from the pure elements in meV/atom: 1432
Crystal system: cubic

Cell lengths 5.073, 5.073, 5.073 Å; angles 90.00, 90.00, 90.00 degrees
Fractional coordinates of all 5 atoms:
Sr 0.000 0.000 0.000
Ru 0.000 0.500 0.500
Ru 0.500 0.000 0.500
Ru 0.500 0.500 0.000
Pb 0.500 0.500 0.500


# 3
Here is a geometry-optimized Al4NiAs structure from Alexandria via LeMat-Bulk. Energies are from PBE.

Calculated values
Space group: F-43m (216)
Magnetization in μB per atom: 0.00
Fermi-level density of states in states/eV/cell: 3.28
Energy of formation from the pure elements in meV/atom: 296
Crystal system: cubic

Cell lengths 5.198, 5.198, 5.198 Å; angles 60.00, 60.00, 60.00 degrees
Fractional coordinates of all 6 atoms:
Al 0.376 0.376 0.376
Al 0.376 0.376 0.873
Al 0.376 0.873 0.376
Al 0.873 0.376 0.376
Ni 0.750 0.750 0.750
As 0.000 0.000 0.000


# 4
Here is a geometry-optimized HfMgAg2 structure from Alexandria via LeMat-Bulk. Energies are from PBE.

Calculated values
Space group: I-42d (122)
Magnetization in μB per atom: 0.00
Fermi-level density of states in states/eV/cell: 5.45
Energy of formation from the pure elements in meV/atom: 445
Crystal system: tetragonal

Cell lengths 10.037, 10.037, 10.037 Å; angles 155.79, 155.79, 34.51 degrees
Fractional coordinates of all 8 atoms:
Hf 0.000 0.000 0.000
Hf 0.750 0.250 0.500
Mg 0.250 0.750 0.500
Mg 0.500 0.500 0.000
Ag 0.139 0.625 0.014
Ag 0.375 0.389 0.514
Ag 0.611 0.125 0.986
Ag 0.875 0.861 0.486


# 5
Here is a geometry-optimized La2Zn2Cl structure from Alexandria via LeMat-Bulk. Energies are from PBE.

Calculated values
Space group: P4/mbm (127)
Relative energy among the computed polymorphs in meV/atom: 225
Magnetization in μB per atom: 0.00
Fermi-level density of states in states/eV/cell: 12.27
Crystal system: tetragonal

Cell lengths 7.852, 7.852, 4.643 Å; angles 90.00, 90.00, 90.00 degrees
Fractional coordinates of all 10 atoms:
La 0.169 0.331 0.000
La 0.331 0.831 0.000
La 0.669 0.169 0.000
La 0.831 0.669 0.000
Zn 0.119 0.619 0.500
Zn 0.381 0.119 0.500
Zn 0.619 0.881 0.500
Zn 0.881 0.381 0.500
Cl 0.000 0.000 0.000
Cl 0.500 0.500 0.000


# 6
Here is a geometry-optimized Ta5Mo3 structure from Alexandria via LeMat-Bulk. Energies are from PBE.

Calculated values
Space group: P4/mmm (123)
Relative energy among the computed polymorphs in meV/atom: 0
Magnetization in μB per atom: 0.00
Fermi-level density of states in states/eV/cell: 6.35
Energy of formation from the pure elements in meV/atom: -173
Crystal system: tetragonal

Cell lengths 3.246, 3.246, 13.047 Å; angles 90.00, 90.00, 90.00 degrees
Fractional coordinates of all 8 atoms:
Ta 0.000 0.000 0.000
Ta 0.000 0.000 0.243
Ta 0.000 0.000 0.757
Ta 0.500 0.500 0.379
Ta 0.500 0.500 0.621
Mo 0.000 0.000 0.500
Mo 0.500 0.500 0.125
Mo 0.500 0.500 0.875


# 7
Here is a geometry-optimized Tl2ZnPS4 structure from Alexandria via LeMat-Bulk. Energies are from PBE.

Calculated values
Space group: Fddd (70)
Magnetization in μB per atom: 0.00
Fermi-level density of states in states/eV/cell: 2.56
E in eV/cell: -61.107
Crystal system: orthorhombic

Cell lengths 13.671, 12.551, 6.818 Å; angles 84.26, 65.99, 29.75 degrees
Fractional coordinates of all 16 atoms:
Tl 0.021 0.021 0.729
Tl 0.271 0.271 0.979
Tl 0.729 0.729 0.021
Tl 0.979 0.979 0.271
Zn 0.125 0.125 0.125
Zn 0.875 0.875 0.875
P 0.375 0.375 0.375
P 0.625 0.625 0.625
S 0.016 0.641 0.537
S 0.306 0.537 0.641
S 0.359 0.984 0.694
S 0.463 0.694 0.984
S 0.537 0.306 0.016
S 0.641 0.016 0.306
S 0.694 0.463 0.359
S 0.984 0.359 0.463


# 8
Here is a geometry-optimized CaCuIrC2 structure from Alexandria via LeMat-Bulk. Energies are from PBE.

Calculated values
Space group: P4/mmm (123)
Magnetization in μB per atom: 0.00
Fermi-level density of states in states/eV/cell: 3.55
Energy of formation from the pure elements in meV/atom: 836
Crystal system: tetragonal

Cell lengths 3.988, 3.988, 4.778 Å; angles 90.00, 90.00, 90.00 degrees
Fractional coordinates of all 5 atoms:
Ca 0.000 0.000 0.000
Cu 0.500 0.500 0.000
Ir 0.500 0.500 0.500
C 0.000 0.500 0.500
C 0.500 0.000 0.500


Which value of Fermi-level density of states does entry 4 give?
5.45 states/eV/cell


Among the records above, which one has the lowest Fermi-level density of states?
Tl2ZnPS4


Which formula does entry 7 have?
Tl2ZnPS4